1.
LiSbIrPd: optimized geometry, PBE. Values from VASP.

* M_tot: 0.000 μB per atom

Geometry as Quantum ESPRESSO input:
```
&SYSTEM
  ibrav = 0, nat = 4, ntyp = 4
/
ATOMIC_SPECIES
Li 6.94 Li.upf
Sb 121.76 Sb.upf
Ir 192.22 Ir.upf
Pd 106.42 Pd.upf
ATOMIC_POSITIONS angstrom
Li 0.000 0.000 0.000
Sb 3.143 3.143 3.143
Ir 4.714 4.714 4.714
Pd 1.571 1.571 1.571
CELL_PARAMETERS angstrom
0.000 3.143 3.143
3.143 0.000 3.143
3.143 3.143 0.000
```

---

2.
LiSiIrPd: optimized geometry, PBE. Values from VASP.

* M_tot: 0.000 μB per atom

Geometry as Quantum ESPRESSO input:
```
&SYSTEM
  ibrav = 0, nat = 4, ntyp = 4
/
ATOMIC_SPECIES
Li 6.94 Li.upf
Si 28.09 Si.upf
Ir 192.22 Ir.upf
Pd 106.42 Pd.upf
ATOMIC_POSITIONS angstrom
Li 0.000 0.000 0.000
Si 2.935 2.935 2.935
Ir 1.467 1.467 1.467
Pd 4.402 4.402 4.402
CELL_PARAMETERS angstrom
0.000 2.935 2.935
2.935 0.000 2.935
2.935 2.935 0.000
```

---

3.
SrLi2IrPd: optimized geometry, PBE. Values from VASP.

* M_tot: 0.040 μB per atom
* energy of formation from the pure elements: 0.3744 eV per atom

Geometry as Quantum ESPRESSO input:
```
&SYSTEM
  ibrav = 0, nat = 5, ntyp = 4
/
ATOMIC_SPECIES
Sr 87.62 Sr.upf
Li 6.94 Li.upf
Ir 192.22 Ir.upf
Pd 106.42 Pd.upf
ATOMIC_POSITIONS angstrom
Sr 0.000 0.000 0.000
Li 0.000 2.359 2.797
Li 2.359 0.000 2.797
Ir 0.000 0.000 2.797
Pd 2.359 2.359 0.000
CELL_PARAMETERS angstrom
4.717 0.000 0.000
0.000 4.717 0.000
0.000 0.000 5.594
```

---

4.
LiTbIrPd: optimized geometry, PBE. Values from VASP.

* M_tot: 0.000 μB per atom
* energy of formation from the pure elements: -0.4935 eV per atom

Geometry as Quantum ESPRESSO input:
```
&SYSTEM
  ibrav = 0, nat = 4, ntyp = 4
/
ATOMIC_SPECIES
Li 6.94 Li.upf
Tb 158.93 Tb.upf
Ir 192.22 Ir.upf
Pd 106.42 Pd.upf
ATOMIC_POSITIONS angstrom
Li 0.000 0.000 0.000
Tb 3.277 3.277 3.277
Ir 1.639 1.639 1.639
Pd 4.916 4.916 4.916
CELL_PARAMETERS angstrom
0.000 3.277 3.277
3.277 0.000 3.277
3.277 3.277 0.000
```

---

5.
Li2TcIrPd: optimized geometry, PBE. Values from VASP.

* M_tot: 0.272 μB per atom
* energy of formation from the pure elements: 1.5514 eV per atom

Geometry as Quantum ESPRESSO input:
```
&SYSTEM
  ibrav = 0, nat = 5, ntyp = 4
/
ATOMIC_SPECIES
Li 6.94 Li.upf
Tc 98.00 Tc.upf
Ir 192.22 Ir.upf
Pd 106.42 Pd.upf
ATOMIC_POSITIONS angstrom
Li 0.000 2.173 0.000
Li 2.173 0.000 0.000
Tc 0.000 0.000 0.000
Ir 2.173 2.173 2.312
Pd 0.000 0.000 2.312
CELL_PARAMETERS angstrom
4.347 0.000 0.000
0.000 4.347 0.000
0.000 0.000 4.624
```

---

6.
LiZr2IrPd: optimized geometry, PBE. Values from VASP.

* M_tot: 0.000 μB per atom
* energy of formation from the pure elements: 0.1576 eV per atom

Geometry as Quantum ESPRESSO input:
```
&SYSTEM
  ibrav = 0, nat = 5, ntyp = 4
/
ATOMIC_SPECIES
Li 6.94 Li.upf
Zr 91.22 Zr.upf
Ir 192.22 Ir.upf
Pd 106.42 Pd.upf
ATOMIC_POSITIONS angstrom
Li 0.000 0.000 0.000
Zr 0.000 2.498 2.239
Zr 2.498 0.000 2.239
Ir 0.000 0.000 2.239
Pd 2.498 2.498 0.000
CELL_PARAMETERS angstrom
4.997 0.000 0.000
0.000 4.997 0.000
0.000 0.000 4.479
```

---

7.
LiZrIrPd2: optimized geometry, PBE. Values from VASP.

* M_tot: 0.000 μB per atom
* energy of formation from the pure elements: 0.6255 eV per atom

Geometry as Quantum ESPRESSO input:
```
&SYSTEM
  ibrav = 0, nat = 5, ntyp = 4
/
ATOMIC_SPECIES
Li 6.94 Li.upf
Zr 91.22 Zr.upf
Ir 192.22 Ir.upf
Pd 106.42 Pd.upf
ATOMIC_POSITIONS angstrom
Li 0.000 0.000 0.000
Zr 2.492 2.492 2.433
Ir 2.492 2.492 0.000
Pd 0.000 2.492 2.433
Pd 2.492 0.000 2.433
CELL_PARAMETERS angstrom
4.984 0.000 0.000
0.000 4.984 0.000
0.000 0.000 4.867
```

---

8.
LiPm6Ir5: optimized geometry, PBE. Values from VASP.

* M_tot: 0.000 μB per atom
* energy of formation from the pure elements: -0.5650 eV per atom

Geometry as Quantum ESPRESSO input:
```
&SYSTEM
  ibrav = 0, nat = 12, ntyp = 3
/
ATOMIC_SPECIES
Li 6.94 Li.upf
Pm 145.00 Pm.upf
Ir 192.22 Ir.upf
ATOMIC_POSITIONS angstrom
Li 0.000 0.000 0.000
Pm 2.473 -1.758 4.948
Pm 2.473 1.868 0.000
Pm 0.000 1.834 2.560
Pm 2.473 1.758 4.948
Pm 0.000 1.724 7.508
Pm 0.000 5.349 2.560
Ir 2.473 0.000 2.378
Ir 0.000 0.000 4.954
Ir 0.000 3.591 0.000
Ir 0.000 0.000 10.063
Ir 0.000 3.591 5.130
CELL_PARAMETERS angstrom
-2.473 3.591 7.508
2.473 -3.591 7.508
2.473 3.591 -7.508
```

---

In order of appearance, E = -5.41, -6.01, -3.54, -5.64, -4.10, -6.46, -5.32, -6.79 eV/atom.